# PBE-GGA Cs3K2H4, optimized geometry
# Total DFT energy (no corrections): -38.43 eV for the cell shown
# ρ: 2.63 g/cm3
data_Cs3K2H4
_chemical_formula_sum 'Cs6 K4 H8'
_space_group_name_H-M_alt 'C 1 2/m 1'
_space_group_IT_number 12
_cell_length_a 14.9456
_cell_length_b 4.3955
_cell_length_c 10.9854
_cell_angle_alpha 90.00
_cell_angle_beta 122.77
_cell_angle_gamma 90.00
loop_
_space_group_symop_operation_xyz
'x,y,z'
'-x,-y,-z'
'-x,y,-z'
'x,-y,z'
'x+1/2,y+1/2,z'
'-x+1/2,-y+1/2,-z'
'-x+1/2,y+1/2,-z'
'x+1/2,-y+1/2,z'
loop_
_atom_site_label
_atom_site_fract_x
_atom_site_fract_y
_atom_site_fract_z
Cs1 0.0000 0.0000 0.0000
Cs2 0.1932 0.0000 0.7933
K1 0.1159 0.5000 0.3880
H1 0.0923 0.5000 0.8936
H2 0.2004 0.0000 0.3228

# PBE-GGA Cs3KH, optimized geometry
# E above lowest polymorph: 0.013 eV/atom
# ρ: 2.21 g/cm3
data_Cs3KH
_chemical_formula_sum 'Cs3 K1 H1'
_space_group_name_H-M_alt 'P m -3 m'
_space_group_IT_number 221
_space_group_name_Hall '-P 4 2 3'
_cell_length_a 6.9082
_cell_length_b 6.9082
_cell_length_c 6.9082
_cell_angle_alpha 90.00
_cell_angle_beta 90.00
_cell_angle_gamma 90.00
loop_
_atom_site_label
_atom_site_fract_x
_atom_site_fract_y
_atom_site_fract_z
Cs1 0.0000 0.0000 0.5000
K1 0.5000 0.5000 0.5000
H1 0.0000 0.0000 0.0000

# PBE-GGA Cs5K3H8, optimized geometry
# Total DFT energy (no corrections): -111.21 eV for the cell shown
# ρ: 2.87 g/cm3
data_Cs5K3H8
_chemical_formula_sum 'Cs15 K9 H24'
_space_group_name_H-M_alt 'R -3 m'
_space_group_IT_number 166
_space_group_name_Hall '-R 3 2"'
_cell_length_a 8.6178
_cell_length_b 8.6178
_cell_length_c 21.3272
_cell_angle_alpha 90.00
_cell_angle_beta 90.00
_cell_angle_gamma 120.00
loop_
_atom_site_label
_atom_site_fract_x
_atom_site_fract_y
_atom_site_fract_z
Cs1 0.0000 0.0000 0.0000
Cs2 0.0000 0.0000 0.5000
Cs3 0.0000 0.5000 0.0000
K1 0.0000 0.5000 0.5000
H1 0.0000 0.0000 0.2420
H2 0.0118 0.5059 0.7558